No. 1
# TbPRu, relaxed, DFT PBE
# Formation enthalpy at 0 K in eV/atom: -0.9019
# Volume in A^3/atom: 19.1
# Total magnetization in μB per cell: 0.00
# Raw total energy in eV/atom: -7.34
data_TbPRu
_chemical_formula_sum 'Tb1 P1 Ru1'
_cell_length_a 4.0205
_cell_length_b 4.0205
_cell_length_c 4.0832
_cell_angle_alpha 90.00
_cell_angle_beta 90.00
_cell_angle_gamma 120.00
_space_group_name_H-M_alt 'P -6 m 2'
_space_group_IT_number 187
_space_group_name_Hall 'P -6 2'
loop_
_atom_site_label
_atom_site_type_symbol
_atom_site_fract_x
_atom_site_fract_y
_atom_site_fract_z
Tb1 Tb 0.0000 0.0000 0.0000
P1 P 0.6667 0.3333 0.5000
Ru1 Ru 0.3333 0.6667 0.5000

No. 2
# TbP4Ru4, relaxed, DFT PBE
# Formation enthalpy at 0 K in eV/atom: -0.6291
# Volume in A^3/atom: 15.2
# Total magnetization in μB per cell: 0.00
# Raw total energy in eV/atom: -7.67
data_TbP4Ru4
_chemical_formula_sum 'Tb2 P8 Ru8'
_cell_length_a 5.981
_cell_length_b 5.981
_cell_length_c 7.655
_cell_angle_alpha 90.00
_cell_angle_beta 90.00
_cell_angle_gamma 90.00
_space_group_name_H-M_alt 'P 42/n m c'
_space_group_IT_number 137
loop_
_space_group_symop_operation_xyz
'x,y,z'
'-x,-y,-z'
'-y+1/2,x,z+1/2'
'y+1/2,-x,-z+1/2'
'-x+1/2,-y+1/2,z'
'x+1/2,y+1/2,-z'
'y,-x+1/2,z+1/2'
'-y,x+1/2,-z+1/2'
'x+1/2,-y,-z'
'-x+1/2,y,z'
'-y,-x,-z+1/2'
'y,x,z+1/2'
'-x,y+1/2,-z'
'x,-y+1/2,z'
'y+1/2,x+1/2,-z+1/2'
'-y+1/2,-x+1/2,z+1/2'
loop_
_atom_site_label
_atom_site_type_symbol
_atom_site_fract_x
_atom_site_fract_y
_atom_site_fract_z
Tb1 Tb 0.250 0.750 0.250
P1 P 0.037 0.250 0.067
Ru1 Ru 0.022 0.250 0.371

No. 3
# TbP3Ru4, relaxed, DFT PBE
# Formation enthalpy at 0 K in eV/atom: -0.7982
# Volume in A^3/atom: 15.3
# Total magnetization in μB per cell: 0.00
# Raw total energy in eV/atom: -8.04
data_TbP3Ru4
_chemical_formula_sum 'Tb1 P3 Ru4'
_cell_length_a 4.023
_cell_length_b 4.023
_cell_length_c 7.554
_cell_angle_alpha 90.00
_cell_angle_beta 90.00
_cell_angle_gamma 90.00
_space_group_name_H-M_alt 'P 4/m m m'
_space_group_IT_number 123
_space_group_name_Hall '-P 4 2'
loop_
_atom_site_label
_atom_site_type_symbol
_atom_site_fract_x
_atom_site_fract_y
_atom_site_fract_z
Tb1 Tb 0.000 0.000 0.000
P1 P 0.000 0.000 0.500
P2 P 0.500 0.500 0.164
Ru1 Ru 0.000 0.500 0.314

No. 4
# TbP2Ru3, relaxed, DFT PBE
# Formation enthalpy at 0 K in eV/atom: -0.7955
# Volume in A^3/atom: 15.6
# Total magnetization in μB per cell: 0.00
# Raw total energy in eV/atom: -8.01
data_TbP2Ru3
_chemical_formula_sum 'Tb6 P12 Ru18'
_cell_length_a 15.686
_cell_length_b 3.922
_cell_length_c 9.586
_cell_angle_alpha 90.00
_cell_angle_beta 108.21
_cell_angle_gamma 90.00
_space_group_name_H-M_alt 'C 1 2/m 1'
_space_group_IT_number 12
_space_group_name_Hall '-C 2y'
loop_
_atom_site_label
_atom_site_type_symbol
_atom_site_fract_x
_atom_site_fract_y
_atom_site_fract_z
Tb1 Tb 0.000 0.000 0.000
Tb2 Tb 0.158 0.000 0.697
P1 P 0.039 0.500 0.780
P2 P 0.140 0.500 0.451
P3 P 0.197 0.000 0.133
Ru1 Ru 0.000 0.500 0.500
Ru2 Ru 0.040 0.000 0.330
Ru3 Ru 0.123 0.500 0.201
Ru4 Ru 0.180 0.500 0.962
Ru5 Ru 0.217 0.000 0.392

No. 5
# Tb2P4Ru5, relaxed, DFT PBE
# Formation enthalpy at 0 K in eV/atom: -0.7864
# Volume in A^3/atom: 16.5
# Total magnetization in μB per cell: 0.00
# Raw total energy in eV/atom: -7.81
data_Tb2P4Ru5
_chemical_formula_sum 'Tb8 P16 Ru20'
_cell_length_a 5.595
_cell_length_b 9.712
_cell_length_c 13.384
_cell_angle_alpha 90.00
_cell_angle_beta 90.00
_cell_angle_gamma 90.00
_space_group_name_H-M_alt 'F m m m'
_space_group_IT_number 69
_space_group_name_Hall '-F 2 2'
loop_
_atom_site_label
_atom_site_type_symbol
_atom_site_fract_x
_atom_site_fract_y
_atom_site_fract_z
Tb1 Tb 0.000 0.000 0.129
P1 P 0.000 0.156 0.369
Ru1 Ru 0.000 0.000 0.500
Ru2 Ru 0.250 0.250 0.000
Ru3 Ru 0.250 0.250 0.250

No. 6
# TbP2Ru4, relaxed, DFT PBE
# Formation enthalpy at 0 K in eV/atom: -0.6489
# Volume in A^3/atom: 15.3
# Total magnetization in μB per cell: 0.00
# Raw total energy in eV/atom: -8.16
data_TbP2Ru4
_chemical_formula_sum 'Tb2 P4 Ru8'
_cell_length_a 4.025
_cell_length_b 13.344
_cell_length_c 3.982
_cell_angle_alpha 90.00
_cell_angle_beta 90.00
_cell_angle_gamma 90.00
_space_group_name_H-M_alt 'C m m m'
_space_group_IT_number 65
_space_group_name_Hall '-C 2 2'
loop_
_atom_site_label
_atom_site_type_symbol
_atom_site_fract_x
_atom_site_fract_y
_atom_site_fract_z
Tb1 Tb 0.000 0.000 0.000
P1 P 0.000 0.411 0.500
Ru1 Ru 0.000 0.178 0.500
Ru2 Ru 0.000 0.318 0.000

No. 7
# Tb2P7Ru12, relaxed, DFT PBE
# Formation enthalpy at 0 K in eV/atom: -0.7597
# Volume in A^3/atom: 14.5
# Total magnetization in μB per cell: 0.00
# Raw total energy in eV/atom: -8.30
data_Tb2P7Ru12
_chemical_formula_sum 'Tb2 P7 Ru12'
_cell_length_a 9.4218
_cell_length_b 9.4218
_cell_length_c 3.9518
_cell_angle_alpha 90.00
_cell_angle_beta 90.00
_cell_angle_gamma 120.00
_space_group_name_H-M_alt 'P -6'
_space_group_IT_number 174
_space_group_name_Hall 'P -6'
loop_
_atom_site_label
_atom_site_type_symbol
_atom_site_fract_x
_atom_site_fract_y
_atom_site_fract_z
Tb1 Tb 0.0000 0.0000 0.0000
Tb2 Tb 0.3333 0.6667 0.5000
P1 P 0.0907 0.4475 0.0000
P2 P 0.2677 0.2176 0.5000
P3 P 0.6667 0.3333 0.0000
Ru1 Ru 0.0584 0.2824 0.5000
Ru2 Ru 0.0915 0.6920 0.0000
Ru3 Ru 0.3949 0.1704 0.0000
Ru4 Ru 0.5451 0.4200 0.5000

No. 8
# TbP12Ru4, relaxed, DFT PBE
# Formation enthalpy at 0 K in eV/atom: -0.6388
# Volume in A^3/atom: 15.5
# Total magnetization in μB per cell: 0.00
# Raw total energy in eV/atom: -6.91
data_TbP12Ru4
_chemical_formula_sum 'Tb2 P24 Ru8'
_cell_length_a 8.079
_cell_length_b 8.079
_cell_length_c 8.079
_cell_angle_alpha 90.00
_cell_angle_beta 90.00
_cell_angle_gamma 90.00
_space_group_name_H-M_alt 'I m -3'
_space_group_IT_number 204
_space_group_name_Hall '-I 2 2 3'
loop_
_atom_site_label
_atom_site_type_symbol
_atom_site_fract_x
_atom_site_fract_y
_atom_site_fract_z
Tb1 Tb 0.000 0.000 0.000
P1 P 0.000 0.143 0.357
Ru1 Ru 0.250 0.250 0.250